(P)
Density functional theory data (PBE) for a relaxed structure of Sc2NbPd.

Unit cell a=7.442 b=7.442 c=6.032 alpha=51.91 beta=51.91 gamma=90.00
Atoms (fractional coordinates):
Sc 0.375 0.343 0.750
Sc 0.657 0.125 0.250
Sc 0.093 0.625 0.250
Sc 0.875 0.907 0.750
Pd 0.750 0.250 0.500
Pd 0.000 0.000 0.000
Nb 0.500 0.500 0.000
Nb 0.250 0.750 0.500

(Q)
Density functional theory data (PBE) for a relaxed structure of Sc2NbPd.

Unit cell a=3.218 b=3.218 c=7.432 alpha=90.00 beta=90.00 gamma=90.00
Atoms (fractional coordinates):
Pd 0.500 0.500 0.000
Sc 0.000 0.000 0.773
Sc 0.000 0.000 0.227
Nb 0.500 0.500 0.500

Which one sits at the top of the stability order? (Q) does.

(P)
Density functional theory data (PBE) for a relaxed structure of Sc2NbPd.

Unit cell a=9.963 b=9.963 c=9.963 alpha=17.82 beta=17.82 gamma=17.82
Atoms (fractional coordinates):
Sc 0.915 0.915 0.915
Sc 0.085 0.085 0.085
Pd 0.000 0.000 0.000
Nb 0.500 0.500 0.500

(Q)
Density functional theory data (PBE) for a relaxed structure of Sc2NbPd.

Unit cell a=4.782 b=4.782 c=4.782 alpha=60.00 beta=60.00 gamma=60.00
Last column: magnetic moment on the atom in μB.
Atoms (fractional coordinates):
Sc 0.250 0.250 0.250  0.26
Sc 0.750 0.750 0.750  0.26
Pd 0.500 0.500 0.500  0.06
Nb 0.000 0.000 0.000  1.69

Which one sits at the top of the stability order? (Q) does.

(P)
Density functional theory data (PBE) for a relaxed structure of ScNb2Pd.

Unit cell a=4.661 b=4.661 c=4.661 alpha=60.00 beta=60.00 gamma=60.00
Atoms (fractional coordinates):
Sc 0.000 0.000 0.000
Nb 0.750 0.750 0.750
Nb 0.250 0.250 0.250
Pd 0.500 0.500 0.500

(Q)
Density functional theory data (PBE) for a relaxed structure of ScNb2Pd.

Unit cell a=7.779 b=7.779 c=6.092 alpha=50.32 beta=50.32 gamma=90.00
Atoms (fractional coordinates):
Nb 0.375 0.342 0.750
Nb 0.658 0.125 0.250
Nb 0.875 0.908 0.750
Nb 0.092 0.625 0.250
Sc 0.250 0.750 0.500
Sc 0.500 0.500 0.000
Pd 0.000 0.000 0.000
Pd 0.750 0.250 0.500

Which one sits at the top of the stability order? (P) does.

(P)
Density functional theory data (PBE) for a relaxed structure of Nb2PdSe2.

Unit cell a=4.537 b=4.537 c=5.777 alpha=66.88 beta=66.88 gamma=90.00
Atoms (fractional coordinates):
Nb 0.250 0.750 0.500
Nb 0.750 0.250 0.500
Se 0.633 0.633 0.734
Se 0.367 0.367 0.266
Pd 0.000 0.000 0.000

(Q)
Density functional theory data (PBE) for a relaxed structure of Nb2PdSe2.

Unit cell a=7.363 b=7.363 c=3.200 alpha=90.00 beta=90.00 gamma=90.00
Atoms (fractional coordinates):
Se 0.147 0.353 0.000
Se 0.853 0.647 0.000
Se 0.353 0.853 0.000
Se 0.647 0.147 0.000
Nb 0.649 0.851 0.500
Nb 0.149 0.649 0.500
Nb 0.851 0.351 0.500
Nb 0.351 0.149 0.500
Pd 0.000 0.000 0.000
Pd 0.500 0.500 0.000

Which one sits at the top of the stability order? (Q) does.